# 1
The following is a PBE calculation of a geometry-optimized La3Pr3DyTe8 structure, from Alexandria via LeMat-Bulk.

The structure in POSCAR format:
```
La3Pr3DyTe8
1.0
-6.598 -5.614 -2.609
8.460 -3.081 0.924
-4.829 2.252 7.366
Te Dy Pr La
8 1 3 3
Cartesian
3.228 -2.781 5.766
1.371 -2.384 1.665
-1.911 -5.221 0.383
-4.338 -4.058 4.017
-2.854 -0.819 1.237
-0.112 -5.623 4.445
-6.195 -3.661 -0.084
-1.056 -1.221 5.298
-2.415 1.126 3.683
-1.483 -3.221 2.841
-5.713 -1.681 2.379
1.816 -0.414 4.145
0.000 0.000 0.000
0.931 -4.347 -0.843
4.230 -1.540 0.462
```

Calculated values
- SG: R-3m, No. 166
- Formation energy (no corrections): -1.519 eV/atom



# 2
The following is a PBE calculation of a geometry-optimized La3Pr4DyTe8 structure, from Alexandria via LeMat-Bulk.

The structure in POSCAR format:
```
La3Pr4DyTe8
1.0
-5.319 1.447 7.207
4.879 -5.931 4.791
4.090 6.980 -4.095
Te Pr La Dy
8 4 3 1
Cartesian
4.030 5.816 -1.119
-0.690 3.152 4.570
4.340 -0.655 3.334
1.728 0.126 6.961
1.923 2.371 0.943
1.306 6.558 2.572
-0.379 -3.320 9.023
2.344 -4.061 5.332
-0.614 4.214 1.556
2.045 3.490 -2.047
0.000 0.000 0.000
-2.659 0.724 3.604
1.825 1.248 3.952
4.484 0.525 0.348
-0.220 -2.242 5.999
2.440 -2.965 2.396
```

Calculated values
- SG: R-3m, No. 166
- Formation energy (no corrections): -1.474 eV/atom



> What is the formula in the second record?

La3Pr4DyTe8



> The highest formation energy (no corrections) belongs to which entry?

La3Pr4DyTe8